# Y2ZnOsC

A relaxed Y2ZnOsC crystal (GGA-PBE, the Alexandria database).

a b c (Å): 4.967 4.967 3.905
angles (deg): 90.00 90.00 90.00
Fractional positions:
C 0.000 0.000 0.000
Y 0.000 0.500 0.000
Y 0.500 0.000 0.000
Zn 0.500 0.500 0.500
Os 0.000 0.000 0.500

Results
The value obtained for the calculated formation energy is -0.39 eV per atom. The value obtained for the uncorrected energy is -7.324 eV per atom. As for the space group: P4/mmm, No. 123.